This record from Alexandria via LeMat-Bulk describes crystalline Pr7Sm3Dy at its relaxed geometry. The functional is PBE.

Distance to the lowest polymorph of the same formula   0 meV per atom
Theoretical density   6.55 Mg/m³
Energy   -4.577 eV per atom
Size of the total moment   0.000 Bohr magnetons per cell
Density of states at the Fermi level   16.509 states/eV/cell
E_form   0.17 eV per atom

Cell lengths 7.289, 7.289, 8.812 Å; angles 90.00, 90.00, 120.00 degrees
Sites, in units of the cell vectors:
Pr 0.000 0.000 0.000
Pr 0.167 0.334 0.668
Pr 0.167 0.833 0.668
Pr 0.500 0.001 0.012
Pr 0.500 0.500 0.012
Pr 0.666 0.833 0.668
Pr 0.999 0.500 0.012
Sm 0.335 0.167 0.342
Sm 0.833 0.167 0.342
Sm 0.833 0.665 0.342
Dy 0.667 0.333 0.680

---

This record from Alexandria via LeMat-Bulk describes crystalline CdRh2Cl at its relaxed geometry. The functional is PBE.

Distance to the lowest polymorph of the same formula   265 meV per atom
Theoretical density   8.83 Mg/m³
Formation energy from raw total energies   1.13 eV/f.u.
Energy   -4.085 eV per atom
Size of the total moment   0.000 Bohr magnetons per cell
Density of states at the Fermi level   11.935 states/eV/cell

Cell lengths 2.941, 5.191, 8.714 Å; angles 90.00, 90.00, 90.00 degrees
Sites, in units of the cell vectors:
Cd 0.000 0.000 0.000
Cd 0.500 0.500 0.000
Rh 0.000 0.500 0.268
Rh 0.000 0.500 0.732
Rh 0.500 0.000 0.268
Rh 0.500 0.000 0.732
Cl 0.000 0.000 0.500
Cl 0.500 0.500 0.500

---

This record from Alexandria via LeMat-Bulk describes crystalline K2TeBr6 at its relaxed geometry. The functional is PBE.

Theoretical density   3.40 Mg/m³
Formation energy from raw total energies   -9.18 eV/f.u.
Energy   -2.728 eV per atom
Size of the total moment   0.000 Bohr magnetons per cell
Density of states at the Fermi level   0.000 states/eV/cell

Cell lengths 7.668, 8.115, 13.137 Å; angles 90.00, 125.05, 90.00 degrees
Sites, in units of the cell vectors:
K 0.228 0.080 0.248
K 0.228 0.420 0.748
K 0.772 0.580 0.252
K 0.772 0.920 0.752
Te 0.500 0.000 0.000
Te 0.500 0.500 0.500
Br 0.162 0.186 0.954
Br 0.162 0.314 0.454
Br 0.275 0.715 0.960
Br 0.275 0.785 0.460
Br 0.338 0.014 0.752
Br 0.338 0.486 0.252
Br 0.662 0.514 0.748
Br 0.662 0.986 0.248
Br 0.725 0.215 0.540
Br 0.725 0.285 0.040
Br 0.838 0.686 0.546
Br 0.838 0.814 0.046

---

This record from Alexandria via LeMat-Bulk describes crystalline MnNi3P2 at its relaxed geometry. The functional is PBE.

Distance to the lowest polymorph of the same formula   0 meV per atom
Theoretical density   6.61 Mg/m³
Energy   -6.631 eV per atom
Size of the total moment   10.934 Bohr magnetons per cell
Density of states at the Fermi level   10.626 states/eV/cell
E_form   -0.41 eV per atom

Cell lengths 7.654, 7.654, 8.783 Å; angles 104.95, 104.95, 26.41 degrees
Sites, in units of the cell vectors:
Mn 0.000 0.000 0.000
Mn 0.143 0.143 0.683
Mn 0.857 0.857 0.317
Ni 0.040 0.040 0.327
Ni 0.221 0.221 0.387
Ni 0.319 0.319 0.044
Ni 0.384 0.384 0.806
Ni 0.500 0.500 0.500
Ni 0.616 0.616 0.194
Ni 0.681 0.681 0.956
Ni 0.779 0.779 0.613
Ni 0.960 0.960 0.673
P 0.193 0.193 0.128
P 0.361 0.361 0.539
P 0.458 0.458 0.209
P 0.542 0.542 0.791
P 0.639 0.639 0.461
P 0.807 0.807 0.872

---

This record from Alexandria via LeMat-Bulk describes crystalline Tl17Cd11Ga at its relaxed geometry. The functional is PBE.

Theoretical density   9.83 Mg/m³
Energy   -1.811 eV per atom
Size of the total moment   0.000 Bohr magnetons per cell
Density of states at the Fermi level   11.839 states/eV/cell
E_form   0.03 eV per atom

Cell lengths 10.287, 10.287, 9.989 Å; angles 109.30, 109.30, 110.42 degrees
Sites, in units of the cell vectors:
Tl 0.000 0.000 0.000
Tl 0.286 0.605 0.977
Tl 0.305 0.704 0.682
Tl 0.333 0.333 0.100
Tl 0.347 0.347 0.725
Tl 0.384 0.688 0.370
Tl 0.390 0.997 0.047
Tl 0.592 0.592 0.641
Tl 0.605 0.286 0.977
Tl 0.645 0.991 0.362
Tl 0.669 0.990 0.766
Tl 0.688 0.384 0.370
Tl 0.704 0.305 0.682
Tl 0.990 0.669 0.766
Tl 0.991 0.645 0.362
Tl 0.994 0.994 0.367
Tl 0.997 0.390 0.047
Cd 0.002 0.358 0.561
Cd 0.169 0.989 0.732
Cd 0.173 0.816 0.183
Cd 0.181 0.358 0.366
Cd 0.358 0.002 0.561
Cd 0.358 0.181 0.366
Cd 0.632 0.814 0.001
Cd 0.795 0.795 0.527
Cd 0.814 0.632 0.001
Cd 0.816 0.173 0.183
Cd 0.989 0.169 0.732
Ga 0.629 0.629 0.174

---

This record from Alexandria via LeMat-Bulk describes crystalline TiNbCrTc at its relaxed geometry. The functional is PBE.

Theoretical density   7.99 Mg/m³
Energy   -9.694 eV per atom
Size of the total moment   0.019 Bohr magnetons per cell
Density of states at the Fermi level   18.076 states/eV/cell
E_form   -0.20 eV per atom

Cell lengths 6.228, 6.228, 6.228 Å; angles 90.00, 90.00, 90.00 degrees
Sites, in units of the cell vectors:
Ti 0.000 0.000 0.000
Ti 0.000 0.500 0.500
Ti 0.500 0.000 0.500
Ti 0.500 0.500 0.000
Nb 0.000 0.000 0.500
Nb 0.000 0.500 0.000
Nb 0.500 0.000 0.000
Nb 0.500 0.500 0.500
Cr 0.250 0.250 0.250
Cr 0.250 0.750 0.750
Cr 0.750 0.250 0.750
Cr 0.750 0.750 0.250
Tc 0.250 0.250 0.750
Tc 0.250 0.750 0.250
Tc 0.750 0.250 0.250
Tc 0.750 0.750 0.750